Record 1
Computed, not measured: CsCuRhI6 after structural relaxation at the PBE level of DFT.

Cell: 7.1706 7.1706 8.8104 Å, 90.00 90.00 120.00°
Space group P312 (No. 149)
Inequivalent atoms, fractional coordinates:
Cs: 0.0000 0.0000 0.0000 x1
Cu: 0.6667 0.3333 0.5000 x1
Rh: 0.3333 0.6667 0.5000 x1
I: 0.0109 0.3742 0.6753 x6

Properties
Crystal system: trigonal
E_form (uncorrected) in eV/atom: -0.4247


Record 2
Computed, not measured: Be2AsPb after structural relaxation at the PBE level of DFT.

Cell: 4.561 3.659 4.738 Å, 90.00 90.08 90.00°
Space group P2/m (No. 10)
Inequivalent atoms, fractional coordinates:
Be: 0.000 0.000 0.225 x2
As: 0.000 0.500 0.500 x1
Pb: 0.500 0.500 0.000 x1

Properties
Crystal system: monoclinic
E_form in eV/f.u.: 1.16


Record 3
Computed, not measured: LuHfFeCu after structural relaxation at the PBE level of DFT.

Cell: 6.489 6.489 6.489 Å, 90.00 90.00 90.00°
Space group F-43m (No. 216)
Inequivalent atoms, fractional coordinates:
Lu: 0.000 0.000 0.000 x4
Hf: 0.000 0.000 0.500 x4
Fe: 0.250 0.250 0.250 x4
Cu: 0.250 0.250 0.750 x4

Properties
Crystal system: cubic
E_form in eV/f.u.: -0.52


Record 4
Computed, not measured: Tl5Hg12H3 after structural relaxation at the PBE level of DFT.

Cell: 16.845 16.845 16.845 Å, 90.00 90.00 90.00°
Space group Ia-3d (No. 230)
Inequivalent atoms, fractional coordinates:
Tl: 0.000 0.000 0.000 x16
Tl: 0.000 0.250 0.375 x24
Hg: 0.016 0.115 0.644 x96
H: 0.000 0.250 0.125 x24

Properties
Crystal system: cubic
Total DFT energy (no corrections) in eV/atom: -1.059


Record 5
Computed, not measured: TmPa2Ni9 after structural relaxation at the PBE level of DFT.

Cell: 4.8990 4.8990 24.6007 Å, 90.00 90.00 120.00°
Space group R-3m (No. 166, hexagonal axes)
Inequivalent atoms, fractional coordinates:
Tm: 0.0000 0.0000 0.0000 x3
Pa: 0.0000 0.0000 0.1389 x6
Ni: 0.0000 0.0000 0.3330 x6
Ni: 0.0000 0.0000 0.5000 x3
Ni: 0.0009 0.5004 0.9173 x18

Properties
Crystal system: trigonal
E_form in eV/f.u.: -5.09


Record 6
Computed, not measured: Ce2Co after structural relaxation at the PBE level of DFT.

Cell: 7.522 4.546 7.607 Å, 90.00 90.00 90.00°
Space group Pnma (No. 62)
Inequivalent atoms, fractional coordinates:
Ce: 0.051 0.250 0.176 x4
Ce: 0.125 0.250 0.575 x4
Co: 0.196 0.250 0.887 x4

Properties
Crystal system: orthorhombic
E_form in eV/f.u.: -0.35